The following is a DFT calculation (GGA+U) of a relaxed structure of LiMgMo2O4.

Summary:
Volume, Å³ per cell: 85
Final energy, eV per cell: -50.5

Cell and atoms, written as CIF:
```
data_LiMgMo2O4
_symmetry_space_group_name_H-M 'P 1 2/m 1'
_symmetry_Int_Tables_number 10
_symmetry_space_group_name_Hall '-P 2y'
_cell_length_a 5.251
_cell_length_b 3.074
_cell_length_c 5.526
_cell_angle_alpha 90.00
_cell_angle_beta 108.13
_cell_angle_gamma 90.00
loop_
_atom_site_label
_atom_site_fract_x
_atom_site_fract_y
_atom_site_fract_z
Li1 0.000 0.000 0.000
Mg1 0.500 0.500 0.000
Mo1 0.000 0.500 0.500
Mo2 0.500 0.000 0.500
O1 0.262 0.500 0.245
O2 0.266 0.000 0.771
```